The following is a DFT calculation (PBE) of crystalline Cd4Pd3Pt2 at its relaxed geometry.

Summary:
The formation energy is -2.87 eV/f.u.

Lattice parameters (Å, degrees): 4.1834 4.9273 8.6400 103.72 90.09 115.09
Closest atoms and distances in Å follow each position.
Space group P-1 (No. 2)
Inequivalent atoms, fractional coordinates:
Cd: 0.0124 0.0241 0.3365 (multiplicity 2)  6 Pd 2.78-2.92, 3 Pt 2.85-2.90, 3 Cd 2.89-3.00
Cd: 0.3381 0.6758 0.1115 (multiplicity 2)  4 Pd 2.85-2.91, 4 Pt 2.86-2.91, 4 Cd 2.99-3.00
Pd: 0.0000 0.0000 0.0000 (multiplicity 1)  8 Cd 2.85-2.91, 4 Pt 3.00
Pd: 0.3342 0.6681 0.4430 (multiplicity 2)  6 Cd 2.78-2.92, 3 Pd 2.87-2.90, 3 Pt 2.89-2.92
Pt: 0.3243 0.6493 0.7745 (multiplicity 2)  7 Cd 2.85-2.91, 5 Pd 2.89-3.00

The following is a DFT calculation (PBE) of crystalline BeZnRh2 at its relaxed geometry.

Summary:
Its energy above the most stable polymorph in this dataset is 289.2 meV/atom. The formation energy is -0.70 eV/f.u.

Lattice parameters (Å, degrees): 5.3864 7.8718 2.7100 90.00 114.60 90.00
Closest atoms and distances in Å follow each position.
Space group C2/m (No. 12)
Inequivalent atoms, fractional coordinates:
Be: 0.0000 0.0000 0.0000 (multiplicity 2)  4 Rh 2.45, 2 Zn 2.69, 2 Be 2.71
Zn: 0.0000 0.5000 0.0000 (multiplicity 2)  4 Rh 2.45, 2 Be 2.69, 2 Zn 2.71
Rh: 0.2500 0.2500 0.5000 (multiplicity 4)  2 Be 2.45, 2 Zn 2.45, 4 Rh 2.69-2.71

The following is a DFT calculation (PBE) of crystalline ThAl3Pt at its relaxed geometry.

Summary:
Its energy above the most stable polymorph in this dataset is 0.0 meV/atom. The formation energy is -4.26 eV/f.u.

Lattice parameters (Å, degrees): 4.2994 4.2994 10.7416 90.00 90.00 90.00
Closest atoms and distances in Å follow each position.
Space group I4mm (No. 107)
Inequivalent atoms, fractional coordinates:
Th: 0.0000 0.0000 0.0000 (multiplicity 2)  12 Al 3.18-3.50, 4 Pt 3.39
Al: 0.0000 0.0000 0.4126 (multiplicity 2)  1 Pt 2.43, 4 Al 2.72
Al: 0.0000 0.5000 0.2576 (multiplicity 4)  2 Pt 2.50, 2 Al 2.72
Pt: 0.0000 0.0000 0.6392 (multiplicity 2)  5 Al 2.43-2.50

The following is a DFT calculation (PBE) of crystalline SrHgGe at its relaxed geometry.

Summary:
The formation energy is -1.26 eV/f.u.

Lattice parameters (Å, degrees): 11.8560 4.7391 8.1326 90.00 132.28 90.00
Closest atoms and distances in Å follow each position.
Space group C2/m (No. 12)
Inequivalent atoms, fractional coordinates:
Sr: 0.0000 0.0000 0.0000 (multiplicity 2)  6 Ge 3.41-3.49, 6 Hg 3.51-3.59
Sr: 0.0000 0.5000 0.5000 (multiplicity 2)  2 Ge 3.26, 6 Hg 3.39-3.62
Hg: 0.2416 0.0000 0.5933 (multiplicity 4)  1 Ge 2.73, 2 Hg 2.89
Ge: 0.2243 0.5000 0.0397 (multiplicity 4)  2 Ge 2.63, 1 Hg 2.73

The following is a DFT calculation (PBE) of crystalline LaTb2Pr6Tm at its relaxed geometry.

Summary:
The formation energy is 1.12 eV/f.u.

Lattice parameters (Å, degrees): 9.3964 15.4194 9.7979 90.00 97.13 90.00
Closest atoms and distances in Å follow each position.
Space group C2/c (No. 15)
Inequivalent atoms, fractional coordinates:
La: 0.0000 0.0265 0.2500 (multiplicity 4)  4 Tb 3.47-3.54, 4 Pr 3.64-3.73
Tb: 0.2488 0.4506 0.4519 (multiplicity 8)  5 Pr 3.33-3.59, 2 La 3.47-3.54, 1 Tm 3.57
Pr: 0.0630 0.1808 0.9451 (multiplicity 8)  7 Pr 3.51-3.86, 1 Tb 3.59, 2 La 3.73-3.92
Pr: 0.0971 0.3923 0.1172 (multiplicity 8)  3 Tb 3.33-3.53, 4 Pr 3.35-3.67, 2 Tm 3.46-3.61
Pr: 0.2150 0.2222 0.3125 (multiplicity 8)  3 Pr 3.35-3.75, 1 Tm 3.49, 1 Tb 3.51, 1 La 3.64
Tm: 0.0000 0.4114 0.7500 (multiplicity 4)  6 Pr 3.46-3.61, 2 Tb 3.57

The following is a DFT calculation (PBE) of crystalline Ca3Br at its relaxed geometry.

Summary:
The calculation puts the uncorrected formation energy at -1.40 eV per formula unit. Its energy above the most stable polymorph in this dataset is 321.0 meV/atom.

Lattice parameters (Å, degrees): 4.9095 4.9095 12.4872 90.00 90.00 90.00
Closest atoms and distances in Å follow each position.
Space group I4/mmm (No. 139)
Inequivalent atoms, fractional coordinates:
Ca: 0.0000 0.0000 0.0000 (multiplicity 2)  4 Br 3.47
Ca: 0.0000 0.5000 0.2500 (multiplicity 4)  4 Ca 3.47
Br: 0.0000 0.0000 0.5000 (multiplicity 2)  4 Ca 3.47

The following is a DFT calculation (PBE) of crystalline V3HW at its relaxed geometry.

Summary:
Its energy above the most stable polymorph in this dataset is 0.0 meV/atom.

Lattice parameters (Å, degrees): 2.6935 4.2587 5.2934 90.00 104.25 90.00
Closest atoms and distances in Å follow each position.
Space group P2/m (No. 10)
Inequivalent atoms, fractional coordinates:
V: 0.0000 0.0000 0.0000 (multiplicity 1)  2 H 2.13
V: 0.2817 0.5000 0.7369 (multiplicity 2)  1 H 1.74
H: 0.0000 0.5000 0.0000 (multiplicity 1)  2 V 1.74
W: 0.5000 0.0000 0.5000 (multiplicity 1)  6 V 2.61-2.66, 2 W 2.69

The following is a DFT calculation (PBE) of crystalline TbNd2Bi at its relaxed geometry.

Summary:
Its energy above the most stable polymorph in this dataset is 0.0 meV/atom. The formation energy is -1.64 eV/f.u.

Lattice parameters (Å, degrees): 4.6840 23.5600 4.6841 90.00 90.00 90.00
Closest atoms and distances in Å follow each position.
Space group Cmcm (No. 63)
Inequivalent atoms, fractional coordinates:
Tb: 0.0000 0.1930 0.2500 (multiplicity 4)  5 Bi 3.16-3.35
Nd: 0.0000 0.0663 0.7500 (multiplicity 4)  4 Nd 3.31, 2 Bi 3.44
Nd: 0.0000 0.4387 0.7500 (multiplicity 4)  4 Nd 3.31, 2 Bi 3.52
Bi: 0.0000 0.3270 0.2500 (multiplicity 4)  5 Tb 3.16-3.35, 4 Nd 3.44-3.52

The following is a DFT calculation (PBE) of crystalline TbDy2Y12 at its relaxed geometry.

Summary:
The formation energy is 1.14 eV/f.u.

Lattice parameters (Å, degrees): 3.6488 5.6981 23.5727 90.00 94.39 90.00
Closest atoms and distances in Å follow each position.
Space group P2/m (No. 10)
Inequivalent atoms, fractional coordinates:
Tb: 0.0000 0.0000 0.0000 (multiplicity 1)  2 Tb 3.65, 12 Y 3.72-3.91
Dy: 0.1420 0.0000 0.2848 (multiplicity 2)  10 Y 3.49-3.76, 2 Dy 3.65
Y: 0.0978 0.5000 0.1930 (multiplicity 2)  10 Y 3.49-3.65, 2 Dy 3.57
Y: 0.2207 0.5000 0.4426 (multiplicity 2)  8 Y 3.25-3.41
Y: 0.2891 0.0000 0.5753 (multiplicity 2)  8 Y 3.41-3.74, 2 Dy 3.76
Y: 0.3393 0.5000 0.6784 (multiplicity 2)  8 Y 3.38-3.74, 4 Dy 3.49
Y: 0.4266 0.0000 0.8531 (multiplicity 2)  8 Y 3.42-3.65, 2 Dy 3.72
Y: 0.4636 0.5000 0.9336 (multiplicity 2)  5 Y 3.12-3.49

The following is a DFT calculation (PBE) of crystalline BaTl2SbPd at its relaxed geometry.

Summary:
The calculation puts the uncorrected formation energy at -1.65 eV per formula unit.

Lattice parameters (Å, degrees): 5.3871 5.3871 5.5472 90.00 90.00 90.00
Closest atoms and distances in Å follow each position.
Space group P4/mmm (No. 123)
Inequivalent atoms, fractional coordinates:
Ba: 0.0000 0.0000 0.0000 (multiplicity 1)  4 Sb 3.81, 8 Tl 3.87
Tl: 0.0000 0.5000 0.5000 (multiplicity 2)  2 Pd 2.69
Sb: 0.5000 0.5000 0.0000 (multiplicity 1)  2 Pd 2.77
Pd: 0.5000 0.5000 0.5000 (multiplicity 1)  4 Tl 2.69, 2 Sb 2.77

The following is a DFT calculation (PBE) of crystalline SrTl2In at its relaxed geometry.

Summary:
The formation energy is -0.83 eV/f.u.

Lattice parameters (Å, degrees): 4.0209 4.0209 7.7820 90.00 90.00 90.00
Closest atoms and distances in Å follow each position.
Space group P4mm (No. 99)
Inequivalent atoms, fractional coordinates:
Sr: 0.0000 0.0000 0.0000 (multiplicity 1)  4 In 3.56, 6 Tl 3.56-3.94
Tl: 0.0000 0.0000 0.5069 (multiplicity 1)  4 In 3.31, 4 Tl 3.37
Tl: 0.5000 0.5000 0.2748 (multiplicity 1)  4 Tl 3.37, 1 In 3.51, 4 Sr 3.56
In: 0.5000 0.5000 0.7255 (multiplicity 1)  5 Tl 3.31-3.51, 4 Sr 3.56

The following is a DFT calculation (PBE) of crystalline HgGeTeI at its relaxed geometry.

Summary:
The calculation puts the uncorrected formation energy at -0.23 eV per formula unit.

Lattice parameters (Å, degrees): 8.4062 4.1115 8.9791 90.00 92.57 90.00
Closest atoms and distances in Å follow each position.
Space group Cm (No. 8)
Inequivalent atoms, fractional coordinates:
Hg: 0.0000 0.0000 0.0000 (multiplicity 2)  1 Ge 2.60
Ge: 0.4957 0.5000 0.7100 (multiplicity 2)  1 Hg 2.60, 3 Te 2.74-2.86
Te: 0.1711 0.5000 0.6007 (multiplicity 2)  3 Ge 2.74-2.86
I: 0.3266 0.0000 0.1810 (multiplicity 2)  3 Hg 3.03-3.13

The following is a DFT calculation (PBE) of crystalline CaFe2As2 at its relaxed geometry.

Summary:
The formation energy is -1.16 eV/f.u.

Lattice parameters (Å, degrees): 4.3346 4.3346 8.6850 90.00 90.00 90.00
Closest atoms and distances in Å follow each position.
Space group I4/mmm (No. 139)
Inequivalent atoms, fractional coordinates:
Ca: 0.0000 0.0000 0.0000 (multiplicity 2)  8 As 3.07, 10 Fe 3.25-3.26
Fe: 0.0000 0.0000 0.3757 (multiplicity 4)  1 Fe 2.16
As: 0.0000 0.5000 0.2500 (multiplicity 4)  4 Fe 2.43

The following is a DFT calculation (PBE) of crystalline ScPRu2 at its relaxed geometry.

Summary:
The formation energy is -0.56 eV/f.u.

Lattice parameters (Å, degrees): 3.1578 3.1578 22.5649 90.00 90.00 120.00
Closest atoms and distances in Å follow each position.
Space group R3m (No. 160, hexagonal axes)
Inequivalent atoms, fractional coordinates:
Sc: 0.0000 0.0000 0.0000 (multiplicity 3)  3 Ru 2.62, 3 P 2.76
P: 0.0000 0.0000 0.2415 (multiplicity 3)  3 Ru 2.27
Ru: 0.0000 0.0000 0.5150 (multiplicity 3)  3 P 2.27
Ru: 0.0000 0.0000 0.7499 (multiplicity 3)  3 Sc 2.62, 3 Ru 2.87

The following is a DFT calculation (PBE) of crystalline Tl2BiAu at its relaxed geometry.

Summary:
Its energy above the most stable polymorph in this dataset is 88.5 meV/atom. The formation energy is 0.31 eV/f.u.

Lattice parameters (Å, degrees): 3.5303 3.5303 32.1746 90.00 90.00 120.00
Closest atoms and distances in Å follow each position.
Space group R-3m (No. 166, hexagonal axes)
Inequivalent atoms, fractional coordinates:
Tl: 0.0000 0.0000 0.0996 (multiplicity 6)  3 Au 2.97, 1 Bi 3.21
Bi: 0.0000 0.0000 0.0000 (multiplicity 3)  2 Tl 3.21, 6 Bi 3.53
Au: 0.0000 0.0000 0.5000 (multiplicity 3)  6 Tl 2.97

The following is a DFT calculation (PBE) of crystalline PPb2W at its relaxed geometry.

Summary:
The formation energy is 1.98 eV/f.u.

Lattice parameters (Å, degrees): 3.4066 4.1277 13.9154 90.00 90.00 90.00
Closest atoms and distances in Å follow each position.
Space group Imm2 (No. 44)
Inequivalent atoms, fractional coordinates:
P: 0.0000 0.0000 0.0000 (multiplicity 2)  2 W 2.37
Pb: 0.0000 0.0000 0.4121 (multiplicity 2)  4 P 2.94
Pb: 0.0000 0.5000 0.2086 (multiplicity 2)  4 W 2.96
W: 0.0000 0.5000 0.6184 (multiplicity 2)  2 P 2.37